(1)
DFT (PBE) results for a relaxed TcBPd crystal.

For the formation energy, the calculation gives 0.049 eV/atom. The calculation puts the density of states at the Fermi level at 7.07 states/eV per cell. As for the total magnetic moment: 0.0 μB per formula unit. For the theoretical density, the calculation gives 9.594 g/cm3.

The space group is Cmcm (No. 63) and the conventional cell measures 2.7478, 13.7864 and 3.9334 Å, with angles of 90.00, 90.00 and 90.00 degrees. The inequivalent atoms are Tc at (0.0000, 0.0582, 0.2500), B at (0.0000, 0.4264, 0.2500) and Pd at (0.0000, 0.2012, 0.7500).

(2)
DFT (PBE) results for a relaxed TcB3Pd crystal.

For the formation energy, the calculation gives 1.096 eV/atom. The calculation puts the density of states at the Fermi level at 1.87 states/eV per cell. As for the total magnetic moment: 0.0 μB per formula unit. For the theoretical density, the calculation gives 5.955 g/cm3.

The space group is Pm-3m (No. 221) and the conventional cell measures 4.0421, 4.0421 and 4.0421 Å, with angles of 90.00, 90.00 and 90.00 degrees. The inequivalent atoms are Tc at (0.0000, 0.0000, 0.0000), B at (0.0000, 0.0000, 0.5000) and Pd at (0.5000, 0.5000, 0.5000).

(3)
DFT (PBE) results for a relaxed TcBPd crystal.

For the formation energy, the calculation gives -0.095 eV/atom. The calculation puts the density of states at the Fermi level at 7.57 states/eV per cell. As for the total magnetic moment: 0.0 μB per formula unit. For the theoretical density, the calculation gives 10.029 g/cm3.

The space group is Cm (No. 8) and the conventional cell measures 11.1905, 2.9367 and 4.4242 Å, with angles of 90.00, 101.35 and 90.00 degrees. The inequivalent atoms are Tc at (0.0000, 0.0000, 0.0000), Tc at (0.0725, 0.5000, 0.5358), B at (0.3868, 0.0000, 0.2066), B at (0.4227, 0.5000, 0.4519), Pd at (0.2232, 0.5000, 0.1077) and Pd at (0.2997, 0.0000, 0.6474).

(4)
DFT (PBE) results for a relaxed TiTc2BPd crystal.

For the formation energy, the calculation gives 1.525 eV/atom. The calculation puts the density of states at the Fermi level at 5.87 states/eV per cell. As for the total magnetic moment: 2.4 μB per formula unit. For the theoretical density, the calculation gives 6.682 g/cm3.

The space group is P4/mmm (No. 123) and the conventional cell measures 4.8607, 4.8607 and 3.7983 Å, with angles of 90.00, 90.00 and 90.00 degrees. The inequivalent atoms are Ti at (0.0000, 0.0000, 0.0000), Tc at (0.0000, 0.5000, 0.5000), B at (0.5000, 0.5000, 0.0000) and Pd at (0.5000, 0.5000, 0.5000).